[1]
Entry from Alexandria via LeMat-Bulk: crystalline Zr2SnRh at its relaxed geometry (PBE-GGA).

Cell: 4.143 4.143 20.146 Å, 90.00 90.00 90.00°
Fractional positions:
Zr (0.248, 0.250, 0.125)
Zr (0.250, 0.748, 0.375)
Zr (0.250, 0.752, 0.875)
Zr (0.252, 0.250, 0.625)
Zr (0.748, 0.750, 0.625)
Zr (0.750, 0.248, 0.875)
Zr (0.750, 0.252, 0.375)
Zr (0.752, 0.750, 0.125)
Sn (0.000, 0.000, 0.000)
Sn (0.000, 0.500, 0.250)
Sn (0.500, 0.000, 0.750)
Sn (0.500, 0.500, 0.500)
Rh (0.000, 0.000, 0.500)
Rh (0.000, 0.500, 0.750)
Rh (0.500, 0.000, 0.250)
Rh (0.500, 0.500, 0.000)

Output
Its space-group type is I-42d (122).


[2]
Entry from Alexandria via LeMat-Bulk: crystalline ZrSnRh6 at its relaxed geometry (PBE-GGA).

Cell: 4.025 7.728 8.086 Å, 90.00 90.00 90.00°
Fractional positions:
Zr (0.000, 0.000, 0.000)
Zr (0.000, 0.500, 0.500)
Sn (0.500, 0.000, 0.292)
Sn (0.500, 0.500, 0.792)
Rh (0.000, 0.000, 0.527)
Rh (0.000, 0.250, 0.263)
Rh (0.000, 0.250, 0.763)
Rh (0.000, 0.500, 0.027)
Rh (0.000, 0.750, 0.263)
Rh (0.000, 0.750, 0.763)
Rh (0.500, 0.000, 0.762)
Rh (0.500, 0.248, 0.027)
Rh (0.500, 0.252, 0.527)
Rh (0.500, 0.500, 0.262)
Rh (0.500, 0.748, 0.527)
Rh (0.500, 0.752, 0.027)

Output
Its space-group type is Amm2 (38).


[3]
Entry from Alexandria via LeMat-Bulk: crystalline ZrSn2Rh2 at its relaxed geometry (PBE-GGA).

Cell: 7.647 7.647 3.190 Å, 90.00 90.00 90.00°
Fractional positions:
Zr (0.000, 0.000, 0.000)
Zr (0.500, 0.500, 0.000)
Sn (0.161, 0.339, 0.500)
Sn (0.339, 0.839, 0.500)
Sn (0.661, 0.161, 0.500)
Sn (0.839, 0.661, 0.500)
Rh (0.135, 0.635, 0.000)
Rh (0.365, 0.135, 0.000)
Rh (0.635, 0.865, 0.000)
Rh (0.865, 0.365, 0.000)

Output
Its space-group type is P4/mbm (127).


[4]
Entry from Alexandria via LeMat-Bulk: crystalline ZrSn3Rh4 at its relaxed geometry (PBE-GGA).

Cell: 14.439 4.510 4.510 Å, 90.00 108.13 90.00°
Fractional positions:
Zr (0.000, 0.000, 0.000)
Zr (0.500, 0.500, 0.000)
Sn (0.000, 0.500, 0.500)
Sn (0.249, 0.000, 0.249)
Sn (0.251, 0.500, 0.751)
Sn (0.500, 0.000, 0.500)
Sn (0.749, 0.500, 0.249)
Sn (0.751, 0.000, 0.751)
Rh (0.124, 0.000, 0.624)
Rh (0.124, 0.500, 0.123)
Rh (0.376, 0.000, 0.877)
Rh (0.376, 0.500, 0.376)
Rh (0.624, 0.000, 0.123)
Rh (0.624, 0.500, 0.624)
Rh (0.876, 0.000, 0.376)
Rh (0.876, 0.500, 0.877)

Output
Its space-group type is C2/m (12).


[5]
Entry from Alexandria via LeMat-Bulk: crystalline ZrSn2Rh at its relaxed geometry (PBE-GGA).

Cell: 3.218 3.218 29.921 Å, 90.00 90.00 120.00°
Fractional positions:
Zr (0.000, 0.000, 0.000)
Zr (0.333, 0.667, 0.667)
Zr (0.667, 0.333, 0.333)
Sn (0.000, 0.000, 0.099)
Sn (0.000, 0.000, 0.901)
Sn (0.333, 0.667, 0.568)
Sn (0.333, 0.667, 0.766)
Sn (0.667, 0.333, 0.234)
Sn (0.667, 0.333, 0.432)
Rh (0.000, 0.000, 0.500)
Rh (0.333, 0.667, 0.167)
Rh (0.667, 0.333, 0.833)

Output
Its space-group type is R-3m (166).


[6]
Entry from Alexandria via LeMat-Bulk: crystalline ZrSn2Rh at its relaxed geometry (PBE-GGA).

Cell: 4.432 4.432 4.057 Å, 90.00 90.00 90.00°
Fractional positions:
Zr (0.000, 0.000, 0.000)
Sn (0.000, 0.500, 0.500)
Sn (0.500, 0.000, 0.500)
Rh (0.500, 0.500, 0.000)

Output
Its space-group type is P4/mmm (123).


[7]
Entry from Alexandria via LeMat-Bulk: crystalline Zr6SnRh at its relaxed geometry (PBE-GGA).

Cell: 5.535 5.536 5.538 Å, 90.00 90.12 90.33°
Fractional positions:
Zr (0.000, 0.001, 0.244)
Zr (0.000, 0.999, 0.756)
Zr (0.243, 0.499, 0.499)
Zr (0.497, 0.744, 0.999)
Zr (0.503, 0.256, 0.001)
Zr (0.757, 0.501, 0.501)
Sn (0.500, 0.000, 0.500)
Rh (0.000, 0.500, 0.000)

Output
Its space-group type is P-1 (2).


[8]
Entry from Alexandria via LeMat-Bulk: crystalline Zr2SnRh at its relaxed geometry (PBE-GGA).

Cell: 3.495 3.495 25.021 Å, 90.00 90.00 120.00°
Fractional positions:
Zr (0.000, 0.000, 0.236)
Zr (0.000, 0.000, 0.764)
Zr (0.333, 0.667, 0.430)
Zr (0.333, 0.667, 0.903)
Zr (0.667, 0.333, 0.097)
Zr (0.667, 0.333, 0.570)
Sn (0.000, 0.000, 0.000)
Sn (0.333, 0.667, 0.667)
Sn (0.667, 0.333, 0.333)
Rh (0.000, 0.000, 0.500)
Rh (0.333, 0.667, 0.167)
Rh (0.667, 0.333, 0.833)

Output
Its space-group type is R-3m (166).


[9]
Entry from Alexandria via LeMat-Bulk: crystalline Zr2SnRh at its relaxed geometry (PBE-GGA).

Cell: 3.128 3.128 8.195 Å, 90.00 90.00 90.00°
Fractional positions:
Zr (0.000, 0.000, 0.221)
Zr (0.000, 0.000, 0.779)
Sn (0.500, 0.500, 0.500)
Rh (0.500, 0.500, 0.000)

Output
Its space-group type is P4/mmm (123).


[10]
Entry from Alexandria via LeMat-Bulk: crystalline ZrSn2Rh at its relaxed geometry (PBE-GGA).

Cell: 6.852 6.852 6.852 Å, 90.00 90.00 90.00°
Fractional positions:
Zr (0.000, 0.000, 0.000)
Zr (0.000, 0.500, 0.500)
Zr (0.500, 0.000, 0.500)
Zr (0.500, 0.500, 0.000)
Sn (0.250, 0.250, 0.250)
Sn (0.250, 0.250, 0.750)
Sn (0.250, 0.750, 0.250)
Sn (0.250, 0.750, 0.750)
Sn (0.750, 0.250, 0.250)
Sn (0.750, 0.250, 0.750)
Sn (0.750, 0.750, 0.250)
Sn (0.750, 0.750, 0.750)
Rh (0.000, 0.000, 0.500)
Rh (0.000, 0.500, 0.000)
Rh (0.500, 0.000, 0.000)
Rh (0.500, 0.500, 0.500)

Output
Its space-group type is Fm-3m (225).


[11]
Entry from Alexandria via LeMat-Bulk: crystalline ZrSn2Rh2 at its relaxed geometry (PBE-GGA).

Cell: 7.866 7.866 3.016 Å, 90.00 90.00 90.00°
Fractional positions:
Zr (0.000, 0.000, 0.000)
Zr (0.500, 0.500, 0.000)
Sn (0.145, 0.355, 0.000)
Sn (0.355, 0.855, 0.000)
Sn (0.645, 0.145, 0.000)
Sn (0.855, 0.645, 0.000)
Rh (0.152, 0.652, 0.500)
Rh (0.348, 0.152, 0.500)
Rh (0.652, 0.848, 0.500)
Rh (0.848, 0.348, 0.500)

Output
Its space-group type is P4/mbm (127).


[12]
Entry from Alexandria via LeMat-Bulk: crystalline ZrSn2Rh at its relaxed geometry (PBE-GGA).

Cell: 4.239 4.239 19.879 Å, 90.00 90.00 90.00°
Fractional positions:
Zr (0.000, 0.000, 0.000)
Zr (0.000, 0.500, 0.250)
Zr (0.500, 0.000, 0.750)
Zr (0.500, 0.500, 0.500)
Sn (0.232, 0.250, 0.625)
Sn (0.250, 0.732, 0.875)
Sn (0.250, 0.768, 0.375)
Sn (0.268, 0.250, 0.125)
Sn (0.732, 0.750, 0.125)
Sn (0.750, 0.232, 0.375)
Sn (0.750, 0.268, 0.875)
Sn (0.768, 0.750, 0.625)
Rh (0.000, 0.000, 0.500)
Rh (0.000, 0.500, 0.750)
Rh (0.500, 0.000, 0.250)
Rh (0.500, 0.500, 0.000)

Output
Its space-group type is I-42d (122).


We obtain energy relative to the elements values of 0.037 -0.385 -0.442 -0.542 -0.045 -0.390 -0.347 -0.360 -0.558 -0.238 -0.404 -0.095 eV/atom for the records listed above, in that order.
We obtain total energy values of -7.08 -7.47 -6.69 -6.79 -6.02 -6.37 -8.18 -7.47 -7.67 -6.21 -6.65 -6.07 eV per atom for the records listed above, in that order.